[1]
Here is a geometry-optimized K2LaTcO6 structure from Alexandria via LeMat-Bulk. Energies are from PBE.

Results
Size of the total moment   0.00 μB per cell
E_form (uncorrected)   -19.4 eV per formula unit

a = 6.313 Å, b = 6.313 Å, c = 10.896 Å
α = 73.16°, β = 73.16°, γ = 60.00°
Fractional coordinates of all 20 atoms:
K 0.863 0.863 0.411
K 0.137 0.137 0.589
K 0.738 0.738 0.786
K 0.262 0.262 0.214
La 0.600 0.600 0.199
La 0.400 0.400 0.801
Tc 0.000 0.000 0.000
Tc 0.500 0.500 0.500
O 0.818 0.397 0.388
O 0.397 0.818 0.388
O 0.397 0.397 0.388
O 0.182 0.603 0.612
O 0.603 0.182 0.612
O 0.603 0.603 0.612
O 0.754 0.177 0.892
O 0.177 0.754 0.892
O 0.177 0.177 0.892
O 0.246 0.823 0.108
O 0.823 0.246 0.108
O 0.823 0.823 0.108

[2]
Here is a geometry-optimized LiAg2Os structure from Alexandria via LeMat-Bulk. Energies are from PBE.

Results
DOS at the Fermi energy   5.4 states/eV/cell
Size of the total moment   1.06 μB per cell
Energy relative to the lowest polymorph listed for this composition   384.3 meV per atom

a = 4.947 Å, b = 4.947 Å, c = 4.947 Å
α = 133.12°, β = 133.12°, γ = 68.47°
Fractional coordinates of all 4 atoms:
Ag 0.000 0.000 0.000
Ag 0.250 0.750 0.500
Li 0.500 0.500 0.000
Os 0.750 0.250 0.500

[3]
Here is a geometry-optimized Cd2WBr structure from Alexandria via LeMat-Bulk. Energies are from PBE.

Results
DOS at the Fermi energy   3.1 states/eV/cell
Size of the total moment   2.89 μB per cell
E_form (uncorrected)   4.1 eV per formula unit
Energy relative to the lowest polymorph listed for this composition   572.5 meV per atom

a = 5.514 Å, b = 5.514 Å, c = 5.514 Å
α = 133.58°, β = 133.58°, γ = 67.75°
Fractional coordinates of all 4 atoms:
Br 0.750 0.250 0.500
W 0.500 0.500 0.000
Cd 0.000 0.000 0.000
Cd 0.250 0.750 0.500

Among the records above, which one has the lowest size of the total moment? K2LaTcO6

Copy entry 2 word for word.
Here is a geometry-optimized LiAg2Os structure from Alexandria via LeMat-Bulk. Energies are from PBE.

Results
DOS at the Fermi energy   5.4 states/eV/cell
Size of the total moment   1.06 μB per cell
Energy relative to the lowest polymorph listed for this composition   384.3 meV per atom

a = 4.947 Å, b = 4.947 Å, c = 4.947 Å
α = 133.12°, β = 133.12°, γ = 68.47°
Fractional coordinates of all 4 atoms:
Ag 0.000 0.000 0.000
Ag 0.250 0.750 0.500
Li 0.500 0.500 0.000
Os 0.750 0.250 0.500

Among the records above, which one has the highest size of the total moment? Cd2WBr